DFT (PBE-GGA) results for BiPt3Se after structural relaxation.

Values from the calculation:
- Raw formation energy: 6.5 eV per formula unit
- Magnetization: 0.0000 μB per atom
- Symmetry: Pm-3m, No. 221
- ΔE to the lowest computed polymorph: 0.909 eV per atom

```
5
Lattice="-2.2702 3.6458 2.7452 -4.5504 -1.5737 -1.6732 -0.3492 -3.1959 3.9556" Properties=species:S:1:pos:R:3 pbc="T T T"
Pt -1.1351 1.8229 1.3726
Pt -0.1746 -1.5980 1.9778
Pt -2.2752 -0.7868 -0.8366
Bi 0.0000 0.0000 0.0000
Se -3.5849 -0.5619 2.5138
```

DFT (PBE-GGA) results for BiPt2Se2 after structural relaxation.

Values from the calculation:
- Raw formation energy: 0.5 eV per formula unit
- Magnetization: 0.0000 μB per atom
- Symmetry: I4/mmm, No. 139

```
5
Lattice="4.9534 0.0000 0.0000 0.0000 4.9534 0.0000 2.4767 2.4767 4.6065" Properties=species:S:1:pos:R:3 pbc="T T T"
Se 2.4767 2.4767 1.6030
Se 4.9534 4.9534 3.0035
Bi 0.0000 0.0000 0.0000
Pt 2.4767 4.9534 2.3033
Pt 4.9534 2.4767 2.3033
```

DFT (PBE-GGA) results for BiPtSe2 after structural relaxation.

Values from the calculation:
- Raw formation energy: -0.8 eV per formula unit
- Magnetization: 0.0000 μB per atom
- Symmetry: Pnma, No. 62

```
16
Lattice="3.6993 0.0000 0.0000 0.0000 6.5107 0.0000 0.0000 0.0000 15.9894" Properties=species:S:1:pos:R:3 pbc="T T T"
Se 2.7745 1.5459 0.0598
Se 0.9248 6.4519 3.0297
Se 0.9248 4.9648 15.9296
Se 0.9248 4.8013 7.9349
Se 2.7745 1.7094 8.0545
Se 2.7745 3.1965 4.9650
Se 2.7745 0.0588 12.9597
Se 0.9248 3.3142 11.0244
Bi 2.7745 6.4308 5.8241
Bi 2.7745 3.3352 13.8188
Bi 0.9248 0.0799 10.1653
Bi 0.9248 3.1755 2.1706
Pt 2.7745 4.2605 9.6204
Pt 2.7745 5.5055 1.6257
Pt 0.9248 1.0052 14.3637
Pt 0.9248 2.2502 6.3690
```

DFT (PBE-GGA) results for Bi2Pt2Se after structural relaxation.

Values from the calculation:
- Raw formation energy: -0.5 eV per formula unit
- Magnetization: 0.0000 μB per atom
- Symmetry: P4/mbm, No. 127
- ΔE to the lowest computed polymorph: 0.090 eV per atom

```
10
Lattice="7.5169 0.0000 0.0000 0.0000 7.5169 0.0000 0.0000 0.0000 3.9605" Properties=species:S:1:pos:R:3 pbc="T T T"
Bi 6.2956 2.5372 1.9803
Bi 1.2213 4.9797 1.9803
Bi 4.9797 6.2956 1.9803
Bi 2.5372 1.2213 1.9803
Se 0.0000 0.0000 0.0000
Se 3.7585 3.7585 0.0000
Pt 4.7718 1.0134 0.0000
Pt 1.0134 2.7451 0.0000
Pt 6.5035 4.7718 0.0000
Pt 2.7451 6.5035 0.0000
```

DFT (PBE-GGA) results for BiPtSe after structural relaxation.

Values from the calculation:
- Raw formation energy: -0.9 eV per formula unit
- Magnetization: 0.0000 μB per atom
- Symmetry: P3m1, No. 156

```
3
Lattice="5.1580 0.0000 0.0000 0.0000 4.0146 0.0000 0.0000 -2.0073 3.4768" Properties=species:S:1:pos:R:3 pbc="T T T"
Se 3.0095 0.0000 2.3178
Bi 0.3132 0.0000 0.0000
Pt 1.8353 2.0073 1.1589
```

DFT (PBE-GGA) results for BiPtSe2 after structural relaxation.

Values from the calculation:
- Raw formation energy: -0.8 eV per formula unit
- Magnetization: 0.0000 μB per atom
- Symmetry: R-3m, No. 166

```
4
Lattice="2.2494 5.1128 6.9111 5.0732 5.7438 4.4983 1.8370 7.6407 4.1484" Properties=species:S:1:pos:R:3 pbc="T T T"
Se 8.1040 16.3656 13.7648
Se 1.0556 2.1317 1.7930
Pt 4.5798 9.2487 7.7789
Bi 0.0000 0.0000 0.0000
```